VASP calculation (PBE-GGA) on Ge3BAu after structural relaxation.

```
data_Ge3BAu
_chemical_formula_sum 'Ge3 B1 Au1'
_cell_length_a 5.008
_cell_length_b 5.008
_cell_length_c 5.008
_cell_angle_alpha 90.00
_cell_angle_beta 90.00
_cell_angle_gamma 90.00
_symmetry_space_group_name_H-M 'P 1'
_symmetry_Int_Tables_number 1
loop_
_symmetry_equiv_pos_as_xyz
'x,y,z'
loop_
_atom_site_label
_atom_site_type_symbol
_atom_site_fract_x
_atom_site_fract_y
_atom_site_fract_z
Ge1 Ge 0.000 0.000 0.500
Ge2 Ge 0.000 0.500 0.000
Ge3 Ge 0.500 0.000 0.000
Au1 Au 0.000 0.000 0.000
B1 B 0.500 0.500 0.500
```

Calculated values
Its crystal system is cubic. Its space group is No. 221. The energy above the most stable polymorph in this dataset comes out at 0.932 eV/atom.

---

VASP calculation (PBE-GGA) on AcTaGe2 after structural relaxation.

```
data_AcTaGe2
_chemical_formula_sum 'Ac1 Ta1 Ge2'
_cell_length_a 3.575
_cell_length_b 3.575
_cell_length_c 6.873
_cell_angle_alpha 90.00
_cell_angle_beta 90.00
_cell_angle_gamma 90.00
_symmetry_space_group_name_H-M 'P 1'
_symmetry_Int_Tables_number 1
loop_
_symmetry_equiv_pos_as_xyz
'x,y,z'
loop_
_atom_site_label
_atom_site_type_symbol
_atom_site_fract_x
_atom_site_fract_y
_atom_site_fract_z
Ta1 Ta 0.500 0.500 0.000
Ge1 Ge 0.000 0.000 0.812
Ge2 Ge 0.000 0.000 0.188
Ac1 Ac 0.500 0.500 0.500
```

Calculated values
Its crystal system is tetragonal. Its space group is No. 123. The energy above the most stable polymorph in this dataset comes out at 0.000 eV/atom.

---

VASP calculation (PBE-GGA) on Y2ScOs after structural relaxation.

```
data_Y2ScOs
_chemical_formula_sum 'Y2 Sc1 Os1'
_cell_length_a 3.333
_cell_length_b 3.338
_cell_length_c 9.535
_cell_angle_alpha 69.47
_cell_angle_beta 90.00
_cell_angle_gamma 90.00
_symmetry_space_group_name_H-M 'P 1'
_symmetry_Int_Tables_number 1
loop_
_symmetry_equiv_pos_as_xyz
'x,y,z'
loop_
_atom_site_label
_atom_site_type_symbol
_atom_site_fract_x
_atom_site_fract_y
_atom_site_fract_z
Y1 Y 0.500 0.179 0.321
Y2 Y 0.000 0.018 0.983
Sc1 Sc 0.500 0.821 0.679
Os1 Os 0.000 0.483 0.517
```

Calculated values
Its crystal system is tetragonal. Its space group is No. 99. The energy above the most stable polymorph in this dataset comes out at 0.107 eV/atom.

---

VASP calculation (PBE-GGA) on TeBr after structural relaxation.

```
data_TeBr
_chemical_formula_sum 'Te8 Br8'
_cell_length_a 10.647
_cell_length_b 7.130
_cell_length_c 10.051
_cell_angle_alpha 90.00
_cell_angle_beta 90.00
_cell_angle_gamma 90.00
_symmetry_space_group_name_H-M 'P 1'
_symmetry_Int_Tables_number 1
loop_
_symmetry_equiv_pos_as_xyz
'x,y,z'
loop_
_atom_site_label
_atom_site_type_symbol
_atom_site_fract_x
_atom_site_fract_y
_atom_site_fract_z
Br1 Br 0.872 0.460 0.904
Br2 Br 0.372 0.040 0.096
Br3 Br 0.628 0.540 0.404
Br4 Br 0.105 0.411 0.281
Br5 Br 0.395 0.589 0.781
Br6 Br 0.128 0.960 0.596
Br7 Br 0.895 0.911 0.219
Br8 Br 0.605 0.089 0.719
Te1 Te 0.752 0.570 0.649
Te2 Te 0.812 0.930 0.645
Te3 Te 0.688 0.070 0.145
Te4 Te 0.188 0.430 0.855
Te5 Te 0.252 0.930 0.351
Te6 Te 0.312 0.570 0.355
Te7 Te 0.748 0.430 0.149
Te8 Te 0.248 0.070 0.851
```

Calculated values
Its crystal system is orthorhombic. Its space group is No. 19. The value obtained for the uncorrected formation energy is -12.8 kJ per mole of atoms.

---

VASP calculation (PBE-GGA) on KZr2Cu after structural relaxation.

```
data_KZr2Cu
_chemical_formula_sum 'K1 Zr2 Cu1'
_cell_length_a 11.393
_cell_length_b 11.393
_cell_length_c 11.393
_cell_angle_alpha 16.06
_cell_angle_beta 16.06
_cell_angle_gamma 16.06
_symmetry_space_group_name_H-M 'P 1'
_symmetry_Int_Tables_number 1
loop_
_symmetry_equiv_pos_as_xyz
'x,y,z'
loop_
_atom_site_label
_atom_site_type_symbol
_atom_site_fract_x
_atom_site_fract_y
_atom_site_fract_z
Zr1 Zr 0.021 0.021 0.021
Zr2 Zr 0.479 0.479 0.479
K1 K 0.250 0.250 0.250
Cu1 Cu 0.750 0.750 0.750
```

Calculated values
Its crystal system is trigonal. Its space group is No. 166. The energy above the most stable polymorph in this dataset comes out at 0.272 eV/atom.

---

VASP calculation (PBE-GGA) on SmTeAs after structural relaxation.

```
data_SmTeAs
_chemical_formula_sum 'Sm4 Te4 As4'
_cell_length_a 4.120
_cell_length_b 7.664
_cell_length_c 10.141
_cell_angle_alpha 90.00
_cell_angle_beta 90.00
_cell_angle_gamma 90.00
_symmetry_space_group_name_H-M 'P 1'
_symmetry_Int_Tables_number 1
loop_
_symmetry_equiv_pos_as_xyz
'x,y,z'
loop_
_atom_site_label
_atom_site_type_symbol
_atom_site_fract_x
_atom_site_fract_y
_atom_site_fract_z
Sm1 Sm 0.750 0.271 0.842
Sm2 Sm 0.750 0.771 0.658
Sm3 Sm 0.250 0.729 0.158
Sm4 Sm 0.250 0.229 0.342
Te1 Te 0.750 0.411 0.148
Te2 Te 0.250 0.089 0.648
Te3 Te 0.250 0.589 0.852
Te4 Te 0.750 0.911 0.352
As1 As 0.750 0.905 0.961
As2 As 0.250 0.595 0.461
As3 As 0.750 0.405 0.539
As4 As 0.250 0.095 0.039
```

Calculated values
Its crystal system is orthorhombic. Its space group is No. 62. The value obtained for the uncorrected formation energy is -117.4 kJ per mole of atoms.